Entry 1:
LiSn3Cl7: optimized geometry, PBE.

Computed properties:
Space group   C222_1, No. 20
Total energy   -3.559 eV per atom

```
LiSn3Cl7
1.0
-1.1490 5.5845 6.1981
3.1497 -6.9680 3.5284
8.9267 3.3463 -1.3602
Sn Li Cl
6 2 14
Direct
0.5763 0.5763 0.0000
0.5844 0.9960 0.2981
0.0040 0.4156 0.2019
0.4156 0.0040 0.7981
0.4237 0.4237 0.5000
0.9960 0.5844 0.7019
0.9892 0.9892 0.5000
0.0108 0.0108 0.0000
0.0259 0.3072 0.9542
0.9339 0.0661 0.2500
0.1011 0.3360 0.5528
0.8989 0.6640 0.0528
0.3360 0.1011 0.4472
0.9741 0.6928 0.4542
0.6060 0.3940 0.7500
0.3072 0.0259 0.0458
0.0661 0.9339 0.7500
0.6928 0.9741 0.5458
0.3305 0.6695 0.7500
0.6640 0.8989 0.9472
0.6695 0.3305 0.2500
0.3940 0.6060 0.2500
```



Entry 2:
LiSnCl3: optimized geometry, PBE.

Computed properties:
Space group   R3m, No. 160
Relative energy among the computed polymorphs   0.011 eV per atom

```
LiSnCl3
1.0
5.1808 -0.0010 -0.0009
0.2795 5.1732 -0.0009
0.2795 0.2647 5.1664
Cl Li Sn
3 1 1
Direct
0.3732 0.8579 0.8579
0.8579 0.3732 0.8579
0.8579 0.8579 0.3732
0.8894 0.8894 0.8894
0.5222 0.5222 0.5222
```



Entry 3:
LiTbSnCl6: optimized geometry, PBE.

Computed properties:
Space group   P-31c, No. 163
Total energy   -4.143 eV per atom

```
LiTbSnCl6
1.0
-4.8068 4.7017 -0.4626
-1.4073 -6.0013 2.7255
3.1882 4.3677 11.2636
Cl Tb Sn Li
12 2 2 2
Direct
0.6451 0.9939 0.3683
0.3488 0.3549 0.3683
0.6451 0.6512 0.1317
0.3549 0.0061 0.6317
0.0061 0.6512 0.3683
0.6512 0.0061 0.8683
0.6512 0.6451 0.6317
0.9939 0.3488 0.6317
0.3549 0.3488 0.8683
0.9939 0.6451 0.8683
0.3488 0.9939 0.1317
0.0061 0.3549 0.1317
0.3333 0.6667 0.7500
0.6667 0.3333 0.2500
0.0000 0.0000 0.0000
0.0000 0.0000 0.5000
0.3333 0.6667 0.2500
0.6667 0.3333 0.7500
```



Entry 4:
Li2ThSnCl8: optimized geometry, PBE.

Computed properties:
Space group   P-1, No. 2
Total energy   -4.238 eV per atom

```
Li2ThSnCl8
1.0
6.6420 -0.6903 0.0376
-0.6766 6.8302 0.9730
0.0689 1.3273 8.5556
Th Cl Sn Li
1 8 1 2
Direct
0.0000 0.0000 0.0000
0.6361 0.7437 0.0695
0.3639 0.2563 0.9305
0.3765 0.2751 0.4534
0.6235 0.7249 0.5466
0.1365 0.7804 0.2848
0.1124 0.7824 0.8149
0.8635 0.2196 0.7152
0.8876 0.2176 0.1851
0.0000 0.0000 0.5000
0.4562 0.6368 0.3282
0.5438 0.3632 0.6718
```



Entry 5:
LiTiSnCl6: optimized geometry, PBE.

Computed properties:
Space group   P-31c, No. 163
Total energy   -4.178 eV per atom

```
LiTiSnCl6
1.0
6.4940 0.0000 0.0000
-3.2470 5.6239 0.0000
0.0000 0.0000 12.2245
Ti Cl Sn Li
2 12 2 2
Direct
0.3333 0.6667 0.7500
0.6667 0.3333 0.2500
0.3541 0.3701 0.8641
0.6459 0.6299 0.1359
0.0160 0.6459 0.8641
0.9840 0.3541 0.1359
0.6459 0.0160 0.3641
0.6299 0.9840 0.8641
0.3701 0.3541 0.3641
0.6299 0.6459 0.6359
0.3541 0.9840 0.6359
0.9840 0.6299 0.3641
0.0160 0.3701 0.6359
0.3701 0.0160 0.1359
0.0000 0.0000 0.5000
0.0000 0.0000 0.0000
0.6667 0.3333 0.7500
0.3333 0.6667 0.2500
```



Entry 6:
Li3TlSn2Cl8: optimized geometry, PBE.

Computed properties:
Space group   R3m, No. 160
Total energy   -3.515 eV per atom

```
Li3TlSn2Cl8
1.0
-0.4160 4.5207 -6.0750
3.1812 -2.1394 -6.5436
-6.3933 -2.9941 -6.5240
Cl Sn Li Tl
8 2 3 1
Direct
0.7458 0.7458 0.2541
0.3121 0.3121 0.0636
0.2544 0.7458 0.2541
0.2676 0.2676 0.6676
0.7972 0.2676 0.6676
0.7458 0.2544 0.2541
0.6929 0.6929 0.9214
0.2676 0.7972 0.6676
0.1687 0.1687 0.4938
0.5168 0.5168 0.4496
0.4865 0.4865 0.0864
0.4865 0.9405 0.0864
0.9405 0.4865 0.0864
0.8102 0.8102 0.5694
```



Mass density (kg/m³)
3107 2782 3360 2867 2873 2907
Total moment (μB per formula unit)
0.000 0.000 0.000 0.000 1.000 0.000